1.
Crystalline AgAu3 at its relaxed geometry. Source: Alexandria via LeMat-Bulk, functional PBE.

**Space group**: C2/m (12)
**Energy relative to the elements**: -0.012 eV/atom
**Spin magnetization**: 0.000 μB/f.u.
**Distance to the lowest polymorph of the same formula**: 0.0232 eV per atom
**Density**: 16.11 g/cm3
**DOS at the Fermi energy**: 1.3 states/eV/f.u.

a b c (Å): 5.0308 5.0308 5.1795
angles (deg): 99.18 99.18 33.87
With the nearest neighbours (Å) after each atom.
Element x y z (fractional)
1 Ag 0.0000 0.0000 0.0000  10 Au 2.91-2.98, 2 Ag 2.93
2 Au 0.2496 0.2496 0.7510  3 Ag 2.91-2.93, 9 Au 2.92-2.99
3 Au 0.5000 0.5000 0.5000  8 Au 2.92-2.93, 4 Ag 2.98
4 Au 0.7504 0.7504 0.2490  3 Ag 2.91-2.93, 9 Au 2.92-2.99

2.
Crystalline ZrHg2Bi at its relaxed geometry. Source: Alexandria via LeMat-Bulk, functional PBE.

**Space group**: P4/mmm (123)
**Energy relative to the elements**: 0.006 eV/atom
**Spin magnetization**: 0.000 μB/f.u.
**Density**: 11.71 g/cm3
**DOS at the Fermi energy**: 3.3 states/eV/f.u.

a b c (Å): 3.3349 3.3349 8.9452
angles (deg): 90.00 90.00 90.00
With the nearest neighbours (Å) after each atom.
Element x y z (fractional)
1 Zr 0.0000 0.0000 0.0000  8 Hg 3.07, 4 Zr 3.33
2 Hg 0.5000 0.5000 0.2205  4 Zr 3.07, 4 Hg 3.33, 4 Bi 3.44
3 Hg 0.5000 0.5000 0.7795  4 Zr 3.07, 4 Hg 3.33, 4 Bi 3.44
4 Bi 0.0000 0.0000 0.5000  4 Bi 3.33, 8 Hg 3.44

3.
Crystalline SrLiInPt at its relaxed geometry. Source: Alexandria via LeMat-Bulk, functional PBE.

**Space group**: Cm (8)
**Energy relative to the elements**: -0.609 eV/atom
**Spin magnetization**: 0.000 μB/f.u.
**Distance to the lowest polymorph of the same formula**: 0.0000 eV per atom
**Density**: 6.74 g/cm3
**DOS at the Fermi energy**: 2.0 states/eV/f.u.

a b c (Å): 4.7122 4.7122 5.8756
angles (deg): 114.06 114.06 60.00
With the nearest neighbours (Å) after each atom.
Element x y z (fractional)
1 Sr 0.0000 0.0000 0.0000  1 Li 2.98, 1 Pt 3.08
2 Li 0.8077 0.8077 0.4245  3 In 2.80-2.81, 3 Pt 2.85-2.86, 1 Sr 2.98
3 In 0.5183 0.5183 0.5558  3 Pt 2.73, 3 Li 2.80-2.81
4 Pt 0.1975 0.1975 0.5935  3 In 2.73, 3 Li 2.85-2.86

> The lowest energy relative to the elements belongs to which entry?

SrLiInPt

> What is the DOS at the Fermi energy in the third record?

2.0 states/eV/f.u.

> Number 1 is which compound?

AgAu3

> Which formula does entry 3 have?

SrLiInPt